# 1
PmErAsO | PBE-GGA | relaxed

Output
space group: P4/nmm (129)
relative energy among the computed polymorphs: 68 kJ/mol of formula units
magnetization: 0.0 μB per cell

a b c (Å): 4.2816 4.2816 9.0953
angles (deg): 90.00 90.00 90.00
With the nearest neighbours (Å) after each atom.
Fractional coordinates of all 8 atoms:
Pm  0.2500  0.7500  0.0000  4 As 2.92, 4 Pm 3.03
Pm  0.7500  0.2500  0.0000  4 As 2.92, 4 Pm 3.03
Er  0.2500  0.2500  0.4044  4 O 2.31
Er  0.7500  0.7500  0.5956  4 O 2.31
As  0.2500  0.2500  0.7810  4 Pm 2.92
As  0.7500  0.7500  0.2190  4 Pm 2.92
O  0.2500  0.7500  0.5000  4 Er 2.31
O  0.7500  0.2500  0.5000  4 Er 2.31

---

# 2
PmErAsO | PBE-GGA | relaxed

Output
space group: Pmc2_1 (26)
relative energy among the computed polymorphs: 23 kJ/mol of formula units
magnetization: 0.5 μB per cell

a b c (Å): 4.1599 7.9306 5.6472
angles (deg): 90.00 90.00 90.00
With the nearest neighbours (Å) after each atom.
Fractional coordinates of all 8 atoms:
Pm  0.0000  0.1233  0.0000  2 O 2.41-2.44
Pm  0.0000  0.8767  0.5000  2 O 2.41-2.44
Er  0.5000  0.2867  0.4633  2 O 2.27
Er  0.5000  0.7133  0.9633  2 O 2.27
As  0.5000  0.3585  0.9593  2 Pm 2.80, 3 Er 2.81-2.90
As  0.5000  0.6415  0.4593  2 Pm 2.80, 3 Er 2.81-2.90
O  0.0000  0.1759  0.4258  2 Er 2.27, 2 Pm 2.41-2.44
O  0.0000  0.8241  0.9258  2 Er 2.27, 2 Pm 2.41-2.44

---

# 3
PmErAsO | PBE-GGA | relaxed

Output
space group: Pmc2_1 (26)
relative energy among the computed polymorphs: 0 kJ/mol of formula units
magnetization: 0.0 μB per cell

a b c (Å): 4.3040 7.4705 6.0865
angles (deg): 90.00 90.00 90.00
With the nearest neighbours (Å) after each atom.
Fractional coordinates of all 8 atoms:
Pm  0.0000  0.2041  0.0000  2 O 2.40
Pm  0.0000  0.7959  0.5000  2 O 2.40
Er  0.5000  0.3935  0.5869  2 O 2.19-2.21
Er  0.5000  0.6065  0.0869  2 O 2.19-2.21
As  0.0000  0.1813  0.4910  2 Er 2.74, 2 Pm 2.88-2.99
As  0.0000  0.8187  0.9910  2 Er 2.74, 2 Pm 2.88-2.99
O  0.5000  0.3367  0.9395  2 Er 2.19-2.21, 2 Pm 2.40
O  0.5000  0.6633  0.4395  2 Er 2.19-2.21, 2 Pm 2.40

---

# 4
ErAsPtO | PBE-GGA | relaxed

Output
space group: P4/nmm (129)
relative energy among the computed polymorphs: 0 kJ/mol of formula units
magnetization: 0.0 μB per cell

a b c (Å): 4.1081 4.1081 7.8872
angles (deg): 90.00 90.00 90.00
With the nearest neighbours (Å) after each atom.
Fractional coordinates of all 8 atoms:
Er  0.2500  0.2500  0.1253  4 O 2.28
Er  0.7500  0.7500  0.8747  4 O 2.28
As  0.2500  0.2500  0.6845  4 Pt 2.52
As  0.7500  0.7500  0.3155  4 Pt 2.52
Pt  0.2500  0.7500  0.5000  4 As 2.52
Pt  0.7500  0.2500  0.5000  4 As 2.52
O  0.2500  0.7500  0.0000  4 Er 2.28
O  0.7500  0.2500  0.0000  4 Er 2.28

---

Q: What is the formula in the fourth record?
A: ErAsPtO